(1)
Here is an optimized crystal structure of RbPCl2 from Alexandria via LeMat-Bulk. Energies are from PBE-GGA.

CIF file:
```
data_RbPCl2
_chemical_formula_sum 'Rb4 P4 Cl8'
_space_group_name_H-M_alt 'I -4 2 d'
_space_group_IT_number 122
_space_group_name_Hall 'I -4 2bw'
_cell_length_a 5.929
_cell_length_b 5.929
_cell_length_c 15.744
_cell_angle_alpha 90.00
_cell_angle_beta 90.00
_cell_angle_gamma 90.00
loop_
_atom_site_label
_atom_site_fract_x
_atom_site_fract_y
_atom_site_fract_z
Rb1 0.000 0.000 0.000
P1 0.000 0.000 0.500
Cl1 0.127 0.250 0.625
```

E above lowest polymorph   33 meV/atom
Formation energy from raw total energies   -0.466 eV per atom

(2)
Here is an optimized crystal structure of BaLiTiW2 from Alexandria via LeMat-Bulk. Energies are from PBE-GGA.

CIF file:
```
data_BaLiTiW2
_chemical_formula_sum 'Ba1 Li1 Ti1 W2'
_space_group_name_H-M_alt 'P 4/m m m'
_space_group_IT_number 123
_space_group_name_Hall '-P 4 2'
_cell_length_a 4.728
_cell_length_b 4.728
_cell_length_c 5.562
_cell_angle_alpha 90.00
_cell_angle_beta 90.00
_cell_angle_gamma 90.00
loop_
_atom_site_label
_atom_site_fract_x
_atom_site_fract_y
_atom_site_fract_z
Ba1 0.000 0.000 0.000
Li1 0.500 0.500 0.000
Ti1 0.500 0.500 0.500
W1 0.000 0.500 0.500
```

E_form   1.313 eV/atom

(3)
Here is an optimized crystal structure of KLi2Al from Alexandria via LeMat-Bulk. Energies are from PBE-GGA.

CIF file:
```
data_KLi2Al
_chemical_formula_sum 'K4 Li8 Al4'
_space_group_name_H-M_alt 'I -4 2 d'
_space_group_IT_number 122
_space_group_name_Hall 'I -4 2bw'
_cell_length_a 5.162
_cell_length_b 5.162
_cell_length_c 19.704
_cell_angle_alpha 90.00
_cell_angle_beta 90.00
_cell_angle_gamma 90.00
loop_
_atom_site_label
_atom_site_fract_x
_atom_site_fract_y
_atom_site_fract_z
K1 0.000 0.000 0.000
Li1 0.076 0.250 0.625
Al1 0.000 0.000 0.500
```

E_form   0.319 eV/atom

(4)
Here is an optimized crystal structure of CuReP2 from Alexandria via LeMat-Bulk. Energies are from PBE-GGA.

CIF file:
```
data_CuReP2
_chemical_formula_sum 'Cu1 Re1 P2'
_space_group_name_H-M_alt 'P 1 m 1'
_space_group_IT_number 6
_cell_length_a 3.114
_cell_length_b 4.513
_cell_length_c 4.160
_cell_angle_alpha 90.00
_cell_angle_beta 101.31
_cell_angle_gamma 90.00
loop_
_space_group_symop_operation_xyz
'x,y,z'
'x,-y,z'
loop_
_atom_site_label
_atom_site_fract_x
_atom_site_fract_y
_atom_site_fract_z
Cu1 0.000 0.000 0.000
Re1 0.471 0.500 0.278
P1 0.103 0.500 0.722
P2 0.594 0.000 0.466
```

E above lowest polymorph   119 meV/atom
E_form   0.063 eV/atom

(5)
Here is an optimized crystal structure of Y2Sc4Si3H2 from Alexandria via LeMat-Bulk. Energies are from PBE-GGA.

CIF file:
```
data_Y2Sc4Si3H2
_chemical_formula_sum 'Y4 Sc8 Si6 H4'
_space_group_name_H-M_alt 'I 4/m m m'
_space_group_IT_number 139
_space_group_name_Hall '-I 4 2'
_cell_length_a 4.272
_cell_length_b 4.272
_cell_length_c 22.321
_cell_angle_alpha 90.00
_cell_angle_beta 90.00
_cell_angle_gamma 90.00
loop_
_atom_site_label
_atom_site_fract_x
_atom_site_fract_y
_atom_site_fract_z
Y1 0.000 0.000 0.198
Sc1 0.000 0.500 0.078
Si1 0.000 0.000 0.333
Si2 0.000 0.000 0.500
H1 0.000 0.000 0.094
```

E   -0.456 Ry/atom

(6)
Here is an optimized crystal structure of LiYBr2 from Alexandria via LeMat-Bulk. Energies are from PBE-GGA.

CIF file:
```
data_LiYBr2
_chemical_formula_sum 'Li4 Y4 Br8'
_space_group_name_H-M_alt 'F -4 3 m'
_space_group_IT_number 216
_space_group_name_Hall 'F -4 2 3'
_cell_length_a 7.464
_cell_length_b 7.464
_cell_length_c 7.464
_cell_angle_alpha 90.00
_cell_angle_beta 90.00
_cell_angle_gamma 90.00
loop_
_atom_site_label
_atom_site_fract_x
_atom_site_fract_y
_atom_site_fract_z
Li1 0.000 0.000 0.000
Y1 0.250 0.250 0.750
Br1 0.000 0.000 0.500
Br2 0.250 0.250 0.250
```

E above lowest polymorph   844 meV/atom
Formation energy from raw total energies   -0.374 eV per atom

(7)
Here is an optimized crystal structure of LiTaRu2 from Alexandria via LeMat-Bulk. Energies are from PBE-GGA.

CIF file:
```
data_LiTaRu2
_chemical_formula_sum 'Li2 Ta2 Ru4'
_space_group_name_H-M_alt 'C 1 2/m 1'
_space_group_IT_number 12
_cell_length_a 9.153
_cell_length_b 3.157
_cell_length_c 4.632
_cell_angle_alpha 90.00
_cell_angle_beta 119.21
_cell_angle_gamma 90.00
loop_
_space_group_symop_operation_xyz
'x,y,z'
'-x,-y,-z'
'-x,y,-z'
'x,-y,z'
'x+1/2,y+1/2,z'
'-x+1/2,-y+1/2,-z'
'-x+1/2,y+1/2,-z'
'x+1/2,-y+1/2,z'
loop_
_atom_site_label
_atom_site_fract_x
_atom_site_fract_y
_atom_site_fract_z
Li1 0.000 0.000 0.000
Ta1 0.000 0.500 0.500
Ru1 0.250 0.000 0.752
```

E above lowest polymorph   201 meV/atom
E_form   0.001 eV/atom

(8)
Here is an optimized crystal structure of Al2Zn2Rh from Alexandria via LeMat-Bulk. Energies are from PBE-GGA.

CIF file:
```
data_Al2Zn2Rh
_chemical_formula_sum 'Al4 Zn4 Rh2'
_space_group_name_H-M_alt 'P 4/m b m'
_space_group_IT_number 127
_space_group_name_Hall '-P 4 2ab'
_cell_length_a 6.740
_cell_length_b 6.740
_cell_length_c 3.305
_cell_angle_alpha 90.00
_cell_angle_beta 90.00
_cell_angle_gamma 90.00
loop_
_atom_site_label
_atom_site_fract_x
_atom_site_fract_y
_atom_site_fract_z
Al1 0.174 0.326 0.000
Zn1 0.129 0.629 0.500
Rh1 0.000 0.000 0.500
```

E above lowest polymorph   17 meV/atom
E_form   -0.072 eV/atom